No. 1
A geometry-optimized Pm2YAu3 structure, computed with GGA-PBE.

a = 3.6431 Å, b = 3.6431 Å, c = 11.1111 Å
α = 90.00°, β = 90.00°, γ = 90.00°
Fractional coordinates of all 6 atoms:
Au 0.0000 0.0000 0.6575
Pm 0.5000 0.5000 0.1692
Au 0.0000 0.0000 0.0000
Y 0.5000 0.5000 0.5000
Au 0.0000 0.0000 0.3425
Pm 0.5000 0.5000 0.8308

Calculated values
- Formation enthalpy at 0 K: -0.812 eV per atom
- Uncorrected energy: -30.67 eV/cell
- Crystal system: tetragonal
- Energy relative to the lowest polymorph listed for this composition: 0.0 meV per atom
- D(E_F): 2.74 states/eV/cell
- Magnetic moment: 0.00 μB/f.u.
- Density: 10.92 Mg/m³

***

No. 2
A geometry-optimized PmY4Au2 structure, computed with GGA-PBE.

a = 4.9447 Å, b = 4.9447 Å, c = 10.5807 Å
α = 76.49°, β = 76.49°, γ = 60.00°
Fractional coordinates of all 7 atoms:
Y 0.8983 0.8983 0.3051
Pm 0.5000 0.5000 0.5000
Au 0.3980 0.3980 0.8061
Y 0.2989 0.2989 0.1034
Y 0.7011 0.7011 0.8966
Y 0.1017 0.1017 0.6949
Au 0.6020 0.6020 0.1939

Calculated values
- Formation enthalpy at 0 K: -0.259 eV per atom
- Uncorrected energy: -38.97 eV/cell
- Crystal system: trigonal
- D(E_F): 10.31 states/eV/cell
- Magnetic moment: 0.84 μB/f.u.
- Density: 6.89 Mg/m³

***

No. 3
A geometry-optimized PmYAu2 structure, computed with GGA-PBE.

a = 3.6282 Å, b = 3.6282 Å, c = 7.3749 Å
α = 90.00°, β = 90.00°, γ = 90.00°
Fractional coordinates of all 4 atoms:
Au 0.0000 0.0000 0.2355
Y 0.5000 0.5000 0.0000
Pm 0.5000 0.5000 0.5000
Au 0.0000 0.0000 0.7645

Calculated values
- Formation enthalpy at 0 K: -0.822 eV per atom
- Uncorrected energy: -21.06 eV/cell
- Crystal system: tetragonal
- Energy relative to the lowest polymorph listed for this composition: 26.6 meV per atom
- D(E_F): 2.32 states/eV/cell
- Magnetic moment: 0.00 μB/f.u.
- Density: 10.74 Mg/m³

***

No. 4
A geometry-optimized PmYAu structure, computed with GGA-PBE.

a = 4.9927 Å, b = 4.9927 Å, c = 8.8820 Å
α = 73.68°, β = 73.68°, γ = 60.00°
Fractional coordinates of all 6 atoms:
Au 0.2537 0.2537 0.2390
Au 0.7463 0.7463 0.7610
Pm 0.8749 0.8749 0.3753
Y 0.6258 0.6258 0.1225
Y 0.3742 0.3742 0.8775
Pm 0.1251 0.1251 0.6247

Calculated values
- Formation enthalpy at 0 K: -0.412 eV per atom
- Uncorrected energy: -31.46 eV/cell
- Crystal system: trigonal
- Energy relative to the lowest polymorph listed for this composition: 192.7 meV per atom
- D(E_F): 8.04 states/eV/cell
- Magnetic moment: 0.00 μB/f.u.
- Density: 7.89 Mg/m³

***

No. 5
A geometry-optimized PmYZnAu structure, computed with GGA-PBE.

a = 5.1493 Å, b = 5.1493 Å, c = 5.1493 Å
α = 60.00°, β = 60.00°, γ = 60.00°
Fractional coordinates of all 4 atoms:
Au 0.5000 0.5000 0.5000
Y 0.7500 0.7500 0.7500
Pm 0.2500 0.2500 0.2500
Zn 0.0000 0.0000 0.0000

Calculated values
- Formation enthalpy at 0 K: -0.567 eV per atom
- Uncorrected energy: -18.04 eV/cell
- Crystal system: cubic
- Energy relative to the lowest polymorph listed for this composition: 13.4 meV per atom
- D(E_F): 2.36 states/eV/cell
- Magnetic moment: 0.00 μB/f.u.
- Density: 8.54 Mg/m³

***

No. 6
A geometry-optimized PmYZnAu structure, computed with GGA-PBE.

a = 3.6529 Å, b = 3.6529 Å, c = 7.1872 Å
α = 90.00°, β = 90.00°, γ = 90.00°
Fractional coordinates of all 4 atoms:
Au 0.5000 0.5000 0.1209
Zn 0.5000 0.5000 0.5958
Y 0.0000 0.0000 0.3577
Pm 0.0000 0.0000 0.8536

Calculated values
- Formation enthalpy at 0 K: -0.581 eV per atom
- Uncorrected energy: -18.09 eV/cell
- Crystal system: tetragonal
- Energy relative to the lowest polymorph listed for this composition: 0.0 meV per atom
- D(E_F): 3.49 states/eV/cell
- Magnetic moment: 0.00 μB/f.u.
- Density: 8.59 Mg/m³

***

No. 7
A geometry-optimized Pm2Zn5Au structure, computed with GGA-PBE.

a = 4.3544 Å, b = 8.5309 Å, c = 8.9890 Å
α = 90.00°, β = 90.00°, γ = 104.79°
Fractional coordinates of all 16 atoms:
Au 0.4476 0.8951 0.7500
Zn 0.1868 0.3735 0.6081
Zn 0.3464 0.6927 0.9796
Zn 0.3464 0.6927 0.5204
Pm 0.8014 0.6028 0.7500
Au 0.5524 0.1049 0.2500
Pm 0.0000 0.0000 0.5000
Zn 0.8132 0.6265 0.1081
Zn 0.6536 0.3073 0.0204
Zn 0.1868 0.3735 0.8919
Zn 0.6048 0.2095 0.7500
Zn 0.6536 0.3073 0.4796
Pm 0.0000 0.0000 0.0000
Zn 0.8132 0.6265 0.3919
Pm 0.1986 0.3972 0.2500
Zn 0.3952 0.7905 0.2500

Calculated values
- Formation enthalpy at 0 K: -0.436 eV per atom
- Uncorrected energy: -45.27 eV/cell
- Crystal system: orthorhombic
- D(E_F): 7.56 states/eV/cell
- Magnetic moment: 0.00 μB/f.u.
- Density: 8.37 Mg/m³

***

No. 8
A geometry-optimized PmZn2Au structure, computed with GGA-PBE.

a = 3.4264 Å, b = 3.4264 Å, c = 6.8466 Å
α = 90.00°, β = 90.00°, γ = 90.00°
Fractional coordinates of all 4 atoms:
Zn 0.0000 0.0000 0.2020
Zn 0.0000 0.0000 0.7980
Pm 0.5000 0.5000 0.5000
Au 0.5000 0.5000 0.0000

Calculated values
- Formation enthalpy at 0 K: -0.290 eV per atom
- Uncorrected energy: -11.73 eV/cell
- Crystal system: tetragonal
- Energy relative to the lowest polymorph listed for this composition: 202.5 meV per atom
- D(E_F): 3.23 states/eV/cell
- Magnetic moment: 0.00 μB/f.u.
- Density: 9.77 Mg/m³